Entry 1:
A plane-wave DFT calculation with PBE-GGA was carried out for an optimized crystal structure of MgBePd2.

- DFT total energy (eV for the cell shown) = -16.790

Cell lengths 4.3171, 4.3171, 4.3171 Å; angles 60.00, 60.00, 60.00 degrees
Element x y z (fractional)
Mg 0.0000 0.0000 0.0000
Be 0.7500 0.7500 0.7500
Pd 0.2500 0.2500 0.2500
Pd 0.5000 0.5000 0.5000

Entry 2:
A plane-wave DFT calculation with PBE-GGA was carried out for an optimized crystal structure of LiHoTl.

- distance to the lowest polymorph of the same formula (meV per atom) = 0.0

Cell lengths 4.6822, 4.6822, 4.6822 Å; angles 60.00, 60.00, 60.00 degrees
Element x y z (fractional)
Li 0.0000 0.0000 0.0000
Ho 0.7500 0.7500 0.7500
Tl 0.2500 0.2500 0.2500

Entry 3:
A plane-wave DFT calculation with PBE-GGA was carried out for an optimized crystal structure of GdMgZn.

- DFT total energy (eV for the cell shown) = -61.978

Cell lengths 6.2470, 6.3268, 16.3067 Å; angles 92.18, 90.54, 119.23 degrees
Element x y z (fractional)
Gd 0.0000 0.0000 0.0000
Gd 0.0150 0.4571 0.3590
Gd 0.0421 0.0433 0.4990
Gd 0.2128 0.6322 0.5672
Gd 0.4423 0.4520 0.8509
Gd 0.5446 0.1566 0.0964
Gd 0.5641 0.4954 0.4451
Gd 0.9505 0.4673 0.9534
Mg 0.0067 0.7035 0.1629
Mg 0.0855 0.2320 0.1864
Mg 0.4255 0.9403 0.7424
Mg 0.4487 0.5963 0.0620
Mg 0.4928 0.8176 0.2406
Mg 0.6465 0.1913 0.5836
Mg 0.7608 0.7416 0.6680
Mg 0.9504 0.3966 0.7386
Zn 0.0280 0.8040 0.8268
Zn 0.2875 0.2600 0.6654
Zn 0.3046 0.0754 0.3191
Zn 0.4360 0.9472 0.9247
Zn 0.5287 0.9597 0.4258
Zn 0.5996 0.4491 0.2542
Zn 0.8129 0.0358 0.8396
Zn 0.8629 0.8810 0.3305

Entry 4:
A plane-wave DFT calculation with PBE-GGA was carried out for an optimized crystal structure of Tm2SbIBr.

- DFT total energy (eV for the cell shown) = -22.736

Cell lengths 4.2241, 4.2241, 10.9917 Å; angles 90.00, 90.00, 120.00 degrees
Element x y z (fractional)
Tm 0.0000 0.0000 0.0000
Tm 0.3333 0.6667 0.6926
Sb 0.6667 0.3333 0.8465
I 0.0000 0.0000 0.5160
Br 0.3333 0.6667 0.1532

Entry 5:
A plane-wave DFT calculation with PBE-GGA was carried out for an optimized crystal structure of HoSb.

- DFT total energy (eV for the cell shown) = -10.928

Cell lengths 4.3620, 4.3620, 4.3620 Å; angles 60.00, 60.00, 60.00 degrees
Element x y z (fractional)
Ho 0.0000 0.0000 0.0000
Sb 0.5000 0.5000 0.5000

Entry 6:
A plane-wave DFT calculation with PBE-GGA was carried out for an optimized crystal structure of NbTlCuW.

- distance to the lowest polymorph of the same formula (meV per atom) = 0.0

Cell lengths 4.6340, 4.6340, 4.6340 Å; angles 60.00, 60.00, 60.00 degrees
Element x y z (fractional)
Nb 0.0000 0.0000 0.0000
Tl 0.5000 0.5000 0.5000
Cu 0.7500 0.7500 0.7500
W 0.2500 0.2500 0.2500

Entry 7:
A plane-wave DFT calculation with PBE-GGA was carried out for an optimized crystal structure of Li2ZrZnSn2Ir2.

- DFT total energy (eV for the cell shown) = -43.584

Cell lengths 4.5107, 4.5107, 6.5028 Å; angles 90.00, 90.00, 90.00 degrees
Element x y z (fractional)
Li 0.0000 0.5000 0.2146
Li 0.5000 0.0000 0.7854
Zr 0.0000 0.0000 0.5000
Zn 0.5000 0.5000 0.0000
Sn 0.0000 0.0000 0.0000
Sn 0.5000 0.5000 0.5000
Ir 0.0000 0.5000 0.7455
Ir 0.5000 0.0000 0.2545

Entry 8:
A plane-wave DFT calculation with PBE-GGA was carried out for an optimized crystal structure of InCoGe2.

- DFT total energy (eV for the cell shown) = -17.345

Cell lengths 4.6213, 4.6213, 4.6213 Å; angles 60.00, 60.00, 60.00 degrees
Element x y z (fractional)
In 0.0000 0.0000 0.0000
Co 0.2500 0.2500 0.2500
Ge 0.5000 0.5000 0.5000
Ge 0.7500 0.7500 0.7500

Entry 9:
A plane-wave DFT calculation with PBE-GGA was carried out for an optimized crystal structure of ErThMo.

- distance to the lowest polymorph of the same formula (meV per atom) = 0.0
- formation enthalpy at 0 K (eV per atom) = 0.398

Cell lengths 4.8923, 4.8923, 4.8923 Å; angles 60.00, 60.00, 60.00 degrees
Element x y z (fractional)
Er 0.0000 0.0000 0.0000
Th 0.5000 0.5000 0.5000
Mo 0.2500 0.2500 0.2500